1.
This record from Alexandria describes Tl2HgAs after structural relaxation. The functional is GGA-PBE.

Output
ΔE_f, eV per atom: 0.092
DFT total energy, eV per atom: -2.33
Density of states at the Fermi level, states/eV/f.u.: 1.3

a b c (Å): 4.472 3.372 7.554
angles (deg): 77.59 90.00 90.00
Positions (direct):
As1 0.000 0.686 0.504
Tl1 0.000 0.954 0.969
Tl2 0.500 0.290 0.290
Hg1 0.500 0.570 0.736



2.
This record from Alexandria describes GaPRuAu2S after structural relaxation. The functional is GGA-PBE.

Output
DFT total energy, eV per atom: -4.85
Density of states at the Fermi level, states/eV/f.u.: 2.1
Raw formation energy, meV/atom: -115

a b c (Å): 3.397 6.073 6.120
angles (deg): 116.13 92.50 99.99
Positions (direct):
Ga1 0.424 0.870 0.009
P1 0.203 0.215 0.659
Ru1 0.714 0.215 0.893
Au1 0.073 0.768 0.569
Au2 0.340 0.316 0.330
S1 0.872 0.658 0.108



no.,ρ (Mg/m³)
1,10.214
2,9.425